(1)
Na6TiF12: optimized geometry, PBE-GGA.

Structure (POSCAR):
```
Na6TiF12
1.0
0.1973 3.1617 -5.7164
-1.8175 -5.8833 -2.1900
-5.8191 2.1128 2.0944
Na Ti F
6 1 12
Cartesian
-4.0311 0.0457 -0.2286
-5.5163 1.7224 -3.1340
-5.5904 -2.2558 -2.6225
-3.4082 -0.6545 -5.5834
-1.9230 -2.3312 -2.6780
-1.8489 1.6470 -3.1895
0.0000 0.0000 0.0000
-3.6168 1.7275 -1.7349
-3.6885 -1.9734 -1.2554
-1.6569 -0.4876 -4.0116
-3.8224 -2.3363 -4.0771
-3.7507 1.3646 -4.5566
-5.7824 -0.1212 -1.8004
-5.8427 -3.9792 -0.6658
-2.0762 -4.7460 -3.6821
-6.2364 0.5646 1.0866
-1.5966 3.3704 -5.1462
-5.3630 4.1372 -2.1299
-1.2028 -1.1734 -6.8986
```

N(E_F)   7.54 states/eV per cell
Total moment   2.000 μB per cell
Formation energy from raw total energies   -2645 meV/atom
E   -88.5 eV/cell

(2)
K3Tl: optimized geometry, PBE-GGA.

Structure (POSCAR):
```
K3Tl
1.0
-1.8570 -1.6488 -5.4050
-4.4677 -2.5682 2.3184
-3.1426 5.0507 -0.4610
Tl K
1 3
Cartesian
-0.2614 0.4202 -0.0383
-4.0667 1.6616 0.8903
-3.4244 -1.6873 -1.5818
-2.7623 2.1228 -2.9715
```

N(E_F)   2.72 states/eV per cell
Total moment   0.000 μB per cell
E   -5.6 eV/cell

(3)
KCa2P: optimized geometry, PBE-GGA.

Structure (POSCAR):
```
KCa2P
1.0
-1.1141 -3.3415 -5.3539
-1.5424 -6.2024 0.4722
-1.8213 5.5673 2.5999
Ca K P
2 1 1
Cartesian
0.0000 0.0000 0.0000
-2.3460 -2.7035 0.3156
-1.3283 -4.7720 -2.4409
-2.1319 -1.2731 -2.5975
```

N(E_F)   1.83 states/eV per cell
Total moment   1.740 μB per cell
E   -10.8 eV/cell